1.
VASP calculation (PBE) on a geometry-optimized CdRePt structure.

a = 4.3505 Å, b = 4.3505 Å, c = 4.3505 Å
α = 60.00°, β = 60.00°, γ = 60.00°
With the nearest neighbours (Å) after each atom.
Fractional positions:
Pt1 0.7500 0.7500 0.7500  4 Re 2.66, 4 Cd 2.66
Cd1 0.5000 0.5000 0.5000  4 Pt 2.66
Re1 0.0000 0.0000 0.0000  4 Pt 2.66

Calculated values
SG   F-43m
E   -5.83 eV per atom
DOS(E_F)   2.7 states/eV per cell
Distance to the lowest polymorph of the same formula   1.53 eV per formula unit
Size of the total moment   0.98 μB per formula unit
Theoretical density   14.08 g/cm³
Crystal system   cubic
Formation enthalpy at 0 K   61.37 kJ/mol of atoms

2.
VASP calculation (PBE) on a geometry-optimized Cd2RePt structure.

a = 4.0734 Å, b = 2.8126 Å, c = 6.7529 Å
α = 65.51°, β = 90.00°, γ = 90.00°
With the nearest neighbours (Å) after each atom.
Fractional positions:
Cd1 0.5000 0.2427 0.2574  6 Cd 2.81-2.97, 1 Re 2.88, 4 Pt 2.97-2.98
Cd2 0.0000 0.0106 0.9899  6 Cd 2.81-2.97, 1 Pt 2.85, 4 Re 2.96
Re1 0.5000 0.7733 0.7265  4 Pt 2.76-2.77, 2 Re 2.81, 5 Cd 2.88-2.96
Pt1 0.0000 0.4735 0.5262  4 Re 2.76-2.77, 2 Pt 2.81, 5 Cd 2.85-2.98

Calculated values
SG   Pm
E   -4.79 eV per atom
DOS(E_F)   3.2 states/eV per cell
Distance to the lowest polymorph of the same formula   0.65 eV per formula unit
Size of the total moment   0.00 μB per formula unit
Theoretical density   14.29 g/cm³
Crystal system   monoclinic
Formation enthalpy at 0 K   27.75 kJ/mol of atoms

3.
VASP calculation (PBE) on a geometry-optimized Cd2RePt structure.

a = 4.6448 Å, b = 4.6448 Å, c = 4.6448 Å
α = 60.00°, β = 60.00°, γ = 60.00°
With the nearest neighbours (Å) after each atom.
Fractional positions:
Cd1 0.2500 0.2500 0.2500  4 Re 2.84, 4 Pt 2.84
Cd2 0.7500 0.7500 0.7500  4 Pt 2.84, 4 Re 2.84
Pt1 0.5000 0.5000 0.5000  8 Cd 2.84
Re1 0.0000 0.0000 0.0000  8 Cd 2.84

Calculated values
SG   Fm-3m
E   -4.48 eV per atom
DOS(E_F)   4.4 states/eV per cell
Distance to the lowest polymorph of the same formula   1.89 eV per formula unit
Size of the total moment   2.15 μB per formula unit
Theoretical density   14.20 g/cm³
Crystal system   cubic
Formation enthalpy at 0 K   57.63 kJ/mol of atoms

4.
VASP calculation (PBE) on a geometry-optimized CdRe4Pt structure.

a = 5.2287 Å, b = 5.2287 Å, c = 5.2287 Å
α = 60.00°, β = 60.00°, γ = 60.00°
With the nearest neighbours (Å) after each atom.
Fractional positions:
Pt1 0.0000 0.0000 0.0000  12 Re 3.06, 4 Cd 3.20
Re1 0.8772 0.3743 0.3743  6 Re 2.60-2.63
Re2 0.3743 0.3743 0.3743  6 Re 2.60-2.63
Re3 0.3743 0.8772 0.3743  6 Re 2.60-2.63
Re4 0.3743 0.3743 0.8772  6 Re 2.60-2.63
Cd1 0.7500 0.7500 0.7500  12 Re 3.07, 4 Pt 3.20

Calculated values
SG   F-43m
E   -8.87 eV per atom
DOS(E_F)   5.9 states/eV per cell
Size of the total moment   0.00 μB per formula unit
Theoretical density   17.29 g/cm³
Crystal system   cubic
Formation enthalpy at 0 K   56.57 kJ/mol of atoms

5.
VASP calculation (PBE) on a geometry-optimized CdRePt structure.

a = 6.6629 Å, b = 6.6629 Å, c = 6.6629 Å
α = 155.69°, β = 155.69°, γ = 34.64°
With the nearest neighbours (Å) after each atom.
Fractional positions:
Pt1 0.3219 0.3219 0.0000  4 Re 2.70, 4 Pt 2.81, 4 Cd 3.01
Cd1 0.0003 0.0003 0.0000  4 Cd 2.81, 4 Re 3.01, 4 Pt 3.01
Re1 0.6778 0.6778 0.0000  4 Pt 2.70, 4 Re 2.81, 4 Cd 3.01

Calculated values
SG   I4mm
E   -6.34 eV per atom
DOS(E_F)   2.6 states/eV per cell
Distance to the lowest polymorph of the same formula   0.00 eV per formula unit
Size of the total moment   0.00 μB per formula unit
Theoretical density   16.38 g/cm³
Crystal system   tetragonal
Formation enthalpy at 0 K   12.16 kJ/mol of atoms

6.
VASP calculation (PBE) on a geometry-optimized Cd2RePt structure.

a = 9.7314 Å, b = 9.7314 Å, c = 9.7314 Å
α = 17.05°, β = 17.05°, γ = 17.05°
With the nearest neighbours (Å) after each atom.
Fractional positions:
Cd1 0.9994 0.9994 0.9994  6 Cd 2.88, 3 Pt 2.90, 3 Re 2.93
Cd2 0.5006 0.5006 0.5006  6 Cd 2.88, 3 Pt 2.90, 3 Re 2.93
Re1 0.7500 0.7500 0.7500  6 Re 2.88, 6 Cd 2.93
Pt1 0.2500 0.2500 0.2500  6 Pt 2.88, 6 Cd 2.90

Calculated values
SG   R-3m
E   -4.82 eV per atom
DOS(E_F)   2.3 states/eV per cell
Distance to the lowest polymorph of the same formula   0.54 eV per formula unit
Size of the total moment   0.00 μB per formula unit
Theoretical density   14.57 g/cm³
Crystal system   trigonal
Formation enthalpy at 0 K   24.93 kJ/mol of atoms

7.
VASP calculation (PBE) on a geometry-optimized Cd2RePt structure.

a = 4.8790 Å, b = 4.8790 Å, c = 4.8790 Å
α = 127.41°, β = 127.41°, γ = 77.58°
With the nearest neighbours (Å) after each atom.
Fractional positions:
Pt1 0.5000 0.5000 0.0000  8 Cd 2.88-3.06, 4 Re 2.88
Cd1 0.2500 0.7500 0.5000  4 Cd 2.88, 4 Pt 2.88, 4 Re 3.06
Cd2 0.0000 0.0000 0.0000  4 Cd 2.88, 4 Re 2.88, 4 Pt 3.06
Re1 0.7500 0.2500 0.5000  8 Cd 2.88-3.06, 4 Pt 2.88

Calculated values
SG   I-4m2
E   -4.60 eV per atom
DOS(E_F)   2.2 states/eV per cell
Distance to the lowest polymorph of the same formula   1.42 eV per formula unit
Size of the total moment   2.33 μB per formula unit
Theoretical density   14.16 g/cm³
Crystal system   tetragonal
Formation enthalpy at 0 K   46.34 kJ/mol of atoms

8.
VASP calculation (PBE) on a geometry-optimized CdRePt4 structure.

a = 5.2724 Å, b = 5.2724 Å, c = 5.2724 Å
α = 60.00°, β = 60.00°, γ = 60.00°
With the nearest neighbours (Å) after each atom.
Fractional positions:
Pt1 0.8741 0.3753 0.3753  6 Pt 2.63-2.64
Pt2 0.3753 0.8741 0.3753  6 Pt 2.63-2.64
Pt3 0.3753 0.3753 0.8741  6 Pt 2.63-2.64
Pt4 0.3753 0.3753 0.3753  6 Pt 2.63-2.64
Re1 0.7500 0.7500 0.7500  12 Pt 3.09, 4 Cd 3.23
Cd1 0.0000 0.0000 0.0000  12 Pt 3.09, 4 Re 3.23

Calculated values
SG   F-43m
E   -5.91 eV per atom
DOS(E_F)   5.2 states/eV per cell
Size of the total moment   2.83 μB per formula unit
Theoretical density   17.29 g/cm³
Crystal system   cubic
Formation enthalpy at 0 K   33.47 kJ/mol of atoms